[1]
First-principles (PBE) data for an optimized crystal structure of Ag3AsH, as listed in the Alexandria database. Values from VASP.

Values from the calculation:
* magnetization: 0.000 μB per cell
* relative energy among the computed polymorphs: 0 meV/atom

```
&SYSTEM
  ibrav = 0, nat = 5, ntyp = 3
/
ATOMIC_SPECIES
H 1.01 H.upf
Ag 107.87 Ag.upf
As 74.92 As.upf
ATOMIC_POSITIONS angstrom
H 0.0000 0.0000 0.0000
Ag 1.2754 -0.4005 1.6518
Ag -1.6424 -0.8219 1.0689
Ag 0.4374 -1.9182 -0.8029
As 0.0705 -3.1407 1.9177
CELL_PARAMETERS angstrom
-3.2848 -1.6438 2.1377
0.8748 -3.8364 -1.6058
2.5509 -0.8011 3.3035
```

---

[2]
First-principles (PBE) data for an optimized crystal structure of Ag2AsH2, as listed in the Alexandria database. Values from VASP.

Values from the calculation:
* calculated total energy: -14.78 eV/cell
* magnetization: 0.000 μB per cell

```
&SYSTEM
  ibrav = 0, nat = 5, ntyp = 3
/
ATOMIC_SPECIES
H 1.01 H.upf
Ag 107.87 Ag.upf
As 74.92 As.upf
ATOMIC_POSITIONS angstrom
H -4.6567 0.9898 0.2988
H -3.6939 3.0171 0.0839
Ag -2.6808 1.2721 -0.0111
Ag -5.6698 2.7348 0.3938
As 0.0000 0.0000 0.0000
CELL_PARAMETERS angstrom
-0.6397 2.6330 -1.6805
-2.5655 -1.4215 -1.2505
-5.1454 2.7953 3.3137
```

---

[3]
First-principles (PBE) data for an optimized crystal structure of AgAs3H, as listed in the Alexandria database. Values from VASP.

Values from the calculation:
* magnetization: 0.510 μB per cell
* relative energy among the computed polymorphs: 776 meV/atom

```
&SYSTEM
  ibrav = 0, nat = 5, ntyp = 3
/
ATOMIC_SPECIES
As 74.92 As.upf
Ag 107.87 Ag.upf
H 1.01 H.upf
ATOMIC_POSITIONS angstrom
As 0.0000 0.0000 2.5327
As 2.5327 0.0000 0.0000
As 0.0000 2.5327 0.0000
Ag 0.0000 0.0000 0.0000
H 2.5327 2.5327 2.5327
CELL_PARAMETERS angstrom
5.0653 0.0000 0.0000
0.0000 5.0653 0.0000
0.0000 0.0000 5.0653
```

---

[4]
First-principles (PBE) data for an optimized crystal structure of Ag2AsH, as listed in the Alexandria database. Values from VASP.

Values from the calculation:
* magnetization: 0.518 μB per cell
* relative energy among the computed polymorphs: 292 meV/atom

```
&SYSTEM
  ibrav = 0, nat = 4, ntyp = 3
/
ATOMIC_SPECIES
H 1.01 H.upf
Ag 107.87 Ag.upf
As 74.92 As.upf
ATOMIC_POSITIONS angstrom
H 0.0000 0.0000 0.0000
Ag 1.5782 1.5782 1.5782
Ag 4.7347 4.7347 4.7347
As 3.1565 3.1565 3.1565
CELL_PARAMETERS angstrom
0.0000 3.1565 3.1565
3.1565 0.0000 3.1565
3.1565 3.1565 0.0000
```

---

[5]
First-principles (PBE) data for an optimized crystal structure of AgAs3H, as listed in the Alexandria database. Values from VASP.

Values from the calculation:
* magnetization: 0.000 μB per cell
* relative energy among the computed polymorphs: 0 meV/atom

```
&SYSTEM
  ibrav = 0, nat = 5, ntyp = 3
/
ATOMIC_SPECIES
As 74.92 As.upf
Ag 107.87 Ag.upf
H 1.01 H.upf
ATOMIC_POSITIONS angstrom
As 2.1697 0.0000 0.0000
As 0.0000 0.0000 2.1697
As 0.0000 2.1697 0.0000
Ag 2.1697 2.1697 2.1697
H 0.0000 0.0000 0.0000
CELL_PARAMETERS angstrom
4.3393 0.0000 0.0000
0.0000 4.3393 0.0000
0.0000 0.0000 4.3393
```

---

[6]
First-principles (PBE) data for an optimized crystal structure of Ag2AsH, as listed in the Alexandria database. Values from VASP.

Values from the calculation:
* magnetization: 0.000 μB per cell
* relative energy among the computed polymorphs: 0 meV/atom

```
&SYSTEM
  ibrav = 0, nat = 8, ntyp = 3
/
ATOMIC_SPECIES
H 1.01 H.upf
Ag 107.87 Ag.upf
As 74.92 As.upf
ATOMIC_POSITIONS angstrom
H 3.0146 3.0146 0.0000
H 3.0146 6.0293 1.7269
Ag 7.5366 6.9084 2.5903
Ag 4.5220 5.1501 2.5903
Ag 3.8938 1.5073 0.8634
Ag 2.1355 4.5220 0.8634
As 6.0293 3.0146 1.7269
As 0.0000 0.0000 0.0000
CELL_PARAMETERS angstrom
6.0293 0.0000 0.0000
0.0000 6.0293 0.0000
3.0146 3.0146 3.4537
```

---

[7]
First-principles (PBE) data for an optimized crystal structure of Ag2HgAsH, as listed in the Alexandria database. Values from VASP.

Values from the calculation:
* calculated total energy: -13.00 eV/cell
* magnetization: 0.000 μB per cell

```
&SYSTEM
  ibrav = 0, nat = 5, ntyp = 4
/
ATOMIC_SPECIES
Ag 107.87 Ag.upf
As 74.92 As.upf
Hg 200.59 Hg.upf
H 1.01 H.upf
ATOMIC_POSITIONS angstrom
Ag 2.6068 0.0000 0.0000
Ag 0.0000 2.6068 0.0000
As 0.0000 0.0000 0.0000
Hg 2.6068 2.6068 1.7384
H 0.0000 0.0000 1.7384
CELL_PARAMETERS angstrom
5.2136 0.0000 0.0000
0.0000 5.2136 0.0000
0.0000 0.0000 3.4769
```

---

[8]
First-principles (PBE) data for an optimized crystal structure of InAg2AsH, as listed in the Alexandria database. Values from VASP.

Values from the calculation:
* calculated total energy: -13.63 eV/cell
* magnetization: 0.000 μB per cell

```
&SYSTEM
  ibrav = 0, nat = 5, ntyp = 4
/
ATOMIC_SPECIES
H 1.01 H.upf
As 74.92 As.upf
In 114.82 In.upf
Ag 107.87 Ag.upf
ATOMIC_POSITIONS angstrom
H 0.0000 1.7786 0.0000
As 2.6617 1.7786 2.6617
In 0.0000 0.0000 0.0000
Ag 0.0000 0.0000 2.6617
Ag 2.6617 0.0000 0.0000
CELL_PARAMETERS angstrom
5.3235 0.0000 0.0000
0.0000 3.5573 0.0000
0.0000 0.0000 5.3235
```

---

- Among the records above, which one has the highest magnetization?
  number 4